Density functional theory data (GGA-PBE) for an optimized crystal structure of PmScSeS.

Unit cell a=3.8361 b=3.8379 c=7.2499 alpha=90.00 beta=105.33 gamma=120.01
Closest atoms and distances in Å follow each position.
Positions (direct):
Pm1 0.1191 0.9575 0.0916  3 S 2.78, 3 Se 3.00
Sc1 0.4882 0.1420 0.6459  3 S 2.62, 3 Se 2.86
Se1 0.9810 0.3885 0.3845  3 Sc 2.86, 3 Pm 3.00, 1 S 3.20
S1 0.2896 0.5427 0.8478  3 Sc 2.62, 3 Pm 2.78

Properties
Its total magnetization is 0.000 μB per formula unit. The calculation puts the total energy at -25.87 eV/f.u. The crystal system is trigonal. Its energy relative to the elements, uncorrected is -1.7939 eV per atom.


Density functional theory data (GGA-PBE) for an optimized crystal structure of Ba2Ag.

Unit cell a=7.9552 b=7.9552 c=10.0048 alpha=54.96 beta=54.96 gamma=33.51
Closest atoms and distances in Å follow each position.
Positions (direct):
Ag1 0.0819 0.0819 0.0367  1 Ag 3.11
Ag2 0.3070 0.3070 0.6855  1 Ag 3.11
Ba1 0.3690 0.3690 0.2775  3 Ag 3.49-3.60
Ba2 0.6138 0.6138 0.7453  4 Ag 3.49-3.51
Ba3 0.7751 0.7751 0.9769  4 Ag 3.49-3.51
Ba4 0.0199 0.0199 0.4447  3 Ag 3.49-3.60

Properties
Its total magnetization is 0.000 μB per formula unit. The value obtained for the energy above the most stable polymorph in this dataset is 0.5 kJ per mole of atoms. The calculation puts the total energy at -7.21 eV/f.u. The crystal system is monoclinic. The formation energy is -0.17 eV/atom.


Density functional theory data (GGA-PBE) for an optimized crystal structure of La2CdFe.

Unit cell a=3.5205 b=3.5192 c=8.5352 alpha=90.00 beta=90.00 gamma=90.00
Closest atoms and distances in Å follow each position.
Positions (direct):
Cd1 0.0000 0.0000 0.5568  4 Fe 2.84
Fe1 0.5000 0.5000 0.7170  4 Cd 2.84, 4 La 3.12
La1 0.0000 0.0000 0.9372  4 Fe 3.12, 1 Cd 3.25
La2 0.5000 0.5000 0.2890  4 Cd 3.38, 4 La 3.52, 1 Fe 3.65

Properties
Its total magnetization is 2.407 μB per formula unit. The calculation puts the total energy at -18.56 eV/f.u. The crystal system is tetragonal. The formation energy is 0.17 eV/atom.


Density functional theory data (GGA-PBE) for an optimized crystal structure of MnRuCl2.

Unit cell a=6.9417 b=6.9417 c=6.9417 alpha=151.51 beta=145.26 gamma=45.52
Closest atoms and distances in Å follow each position.
Positions (direct):
Ru1 0.7500 0.2500 0.5000  4 Cl 2.41, 4 Mn 2.69
Mn1 0.2500 0.7500 0.5000  4 Cl 2.68, 4 Ru 2.69
Cl1 0.8832 0.8832 0.0000  2 Ru 2.41, 2 Mn 2.68
Cl2 0.6168 0.6168 0.0000  2 Ru 2.41, 2 Mn 2.68

Properties
Its total magnetization is 4.740 μB per formula unit. The value obtained for the energy above the most stable polymorph in this dataset is 8.8 kJ per mole of atoms. The calculation puts the total energy at -22.40 eV/f.u. The crystal system is orthorhombic. Its energy relative to the elements, uncorrected is -0.0641 eV per atom.


Density functional theory data (GGA-PBE) for an optimized crystal structure of PaBOs2Rh.

Unit cell a=4.2151 b=4.2424 c=4.2424 alpha=90.00 beta=90.00 gamma=90.00
Closest atoms and distances in Å follow each position.
Positions (direct):
Pa1 0.5000 0.5000 0.5000  8 Os 2.99, 4 Rh 3.00
B1 0.0000 0.0000 0.0000  2 Rh 2.11, 4 Os 2.12
Os1 0.0000 0.0000 0.5000  2 B 2.12
Os2 0.0000 0.5000 0.0000  2 B 2.12
Rh1 0.5000 0.0000 0.0000  2 B 2.11

Properties
Its total magnetization is 0.000 μB per formula unit. The calculation puts the total energy at -48.30 eV/f.u. The crystal system is tetragonal. The formation energy is -0.46 eV/atom.


Density functional theory data (GGA-PBE) for an optimized crystal structure of Gd5Dy.

Unit cell a=5.0782 b=5.0606 c=7.9531 alpha=108.55 beta=90.00 gamma=90.00
Closest atoms and distances in Å follow each position.
Positions (direct):
Gd1 0.0000 0.6656 0.3312  2 Dy 3.56, 10 Gd 3.56-3.59
Gd2 0.0000 0.3344 0.6688  2 Dy 3.56, 10 Gd 3.56-3.59
Gd3 0.5000 0.5000 0.0000  8 Gd 3.56, 4 Dy 3.58
Gd4 0.5000 0.1659 0.3317  10 Gd 3.56-3.59, 2 Dy 3.56
Gd5 0.5000 0.8341 0.6683  10 Gd 3.56-3.59, 2 Dy 3.56
Dy1 0.0000 0.0000 0.0000  12 Gd 3.56-3.58

Properties
Its total magnetization is 36.714 μB per formula unit. The calculation puts the total energy at -74.77 eV/f.u. The crystal system is orthorhombic. The formation energy is 0.04 eV/atom.


> Which of these has the highest total magnetization?

Gd5Dy


> Among the records above, which one has the highest total magnetization?

Gd5Dy


> Among the records above, which one has the highest total magnetization?

Gd5Dy